Here is NaWO6 after structural relaxation from the Alexandria database. Energies are from GGA+U.

a b c (Å): 4.8353 4.8353 4.8353
angles (deg): 92.24 92.24 92.24
Fractional positions:
Na 0.0000 0.0000 0.0000
W 0.5000 0.5000 0.5000
O 0.2281 0.2281 0.6170
O 0.2281 0.6170 0.2281
O 0.3830 0.7719 0.7719
O 0.6170 0.2281 0.2281
O 0.7719 0.3830 0.7719
O 0.7719 0.7719 0.3830

Computed properties:
The volume comes out at 113 Å³/cell. The value obtained for the final energy is -0.3930 Ry per atom. The calculation puts the total magnetization at 5.0 μB per formula unit.